(1)
# Hf2Sc2Nb PBE optimized geometry
# Spin magnetization: 0.00 Bohr magnetons per cell
# E_tot: -8.194 eV/atom
# Energy of formation from the pure elements: 0.334 eV per atom
data_Hf2Sc2Nb
_chemical_formula_sum 'Hf4 Sc4 Nb2'
_cell_length_a 7.145
_cell_length_b 7.145
_cell_length_c 4.494
_cell_angle_alpha 90.00
_cell_angle_beta 90.00
_cell_angle_gamma 90.00
_space_group_name_H-M_alt 'P 4/m b m'
_space_group_IT_number 127
_space_group_name_Hall '-P 4 2ab'
loop_
_atom_site_label
_atom_site_type_symbol
_atom_site_fract_x
_atom_site_fract_y
_atom_site_fract_z
_atom_site_occupancy
Hf1 Hf 0.145 0.355 0.000 1
Sc1 Sc 0.159 0.659 0.500 1
Nb1 Nb 0.000 0.000 0.000 1

(2)
# HfScNb2 PBE optimized geometry
# Spin magnetization: 0.00 Bohr magnetons per cell
# E_tot: -8.946 eV/atom
# Energy of formation from the pure elements: 0.160 eV per atom
data_HfScNb2
_chemical_formula_sum 'Hf1 Sc1 Nb2'
_cell_length_a 3.639
_cell_length_b 3.639
_cell_length_c 6.268
_cell_angle_alpha 90.00
_cell_angle_beta 90.00
_cell_angle_gamma 90.00
_space_group_name_H-M_alt 'P 4/m m m'
_space_group_IT_number 123
_space_group_name_Hall '-P 4 2'
loop_
_atom_site_label
_atom_site_type_symbol
_atom_site_fract_x
_atom_site_fract_y
_atom_site_fract_z
_atom_site_occupancy
Hf1 Hf 0.000 0.000 0.000 1
Sc1 Sc 0.000 0.000 0.500 1
Nb1 Nb 0.500 0.500 0.217 1

(3)
# HfSc2Nb PBE optimized geometry
# Spin magnetization: 0.00 Bohr magnetons per cell
# E_tot: -8.059 eV/atom
# Energy of formation from the pure elements: 0.113 eV per atom
data_HfSc2Nb
_chemical_formula_sum 'Hf1 Sc2 Nb1'
_cell_length_a 4.341
_cell_length_b 4.341
_cell_length_c 4.579
_cell_angle_alpha 90.00
_cell_angle_beta 90.00
_cell_angle_gamma 90.00
_space_group_name_H-M_alt 'P 4/m m m'
_space_group_IT_number 123
_space_group_name_Hall '-P 4 2'
loop_
_atom_site_label
_atom_site_type_symbol
_atom_site_fract_x
_atom_site_fract_y
_atom_site_fract_z
_atom_site_occupancy
Hf1 Hf 0.000 0.000 0.000 1
Sc1 Sc 0.000 0.500 0.500 1
Nb1 Nb 0.500 0.500 0.000 1

(4)
# Hf4ScNb2 PBE optimized geometry
# Spin magnetization: 0.00 Bohr magnetons per cell
# E_tot: -8.297 eV/atom
# Energy of formation from the pure elements: 1.172 eV per atom
data_Hf4ScNb2
_chemical_formula_sum 'Hf8 Sc2 Nb4'
_cell_length_a 4.942
_cell_length_b 4.942
_cell_length_c 13.559
_cell_angle_alpha 90.00
_cell_angle_beta 90.00
_cell_angle_gamma 90.00
_space_group_name_H-M_alt 'I 4/m m m'
_space_group_IT_number 139
_space_group_name_Hall '-I 4 2'
loop_
_atom_site_label
_atom_site_type_symbol
_atom_site_fract_x
_atom_site_fract_y
_atom_site_fract_z
_atom_site_occupancy
Hf1 Hf 0.000 0.000 0.196 1
Hf2 Hf 0.000 0.500 0.000 1
Sc1 Sc 0.000 0.000 0.000 1
Nb1 Nb 0.000 0.000 0.388 1

(5)
# HfSc2Nb PBE optimized geometry
# Spin magnetization: 0.00 Bohr magnetons per cell
# E_tot: -7.955 eV/atom
# Energy of formation from the pure elements: 0.216 eV per atom
data_HfSc2Nb
_chemical_formula_sum 'Hf1 Sc2 Nb1'
_cell_length_a 3.676
_cell_length_b 3.676
_cell_length_c 6.361
_cell_angle_alpha 90.00
_cell_angle_beta 90.00
_cell_angle_gamma 90.00
_space_group_name_H-M_alt 'P 4/m m m'
_space_group_IT_number 123
_space_group_name_Hall '-P 4 2'
loop_
_atom_site_label
_atom_site_type_symbol
_atom_site_fract_x
_atom_site_fract_y
_atom_site_fract_z
_atom_site_occupancy
Hf1 Hf 0.000 0.000 0.000 1
Sc1 Sc 0.500 0.500 0.271 1
Nb1 Nb 0.000 0.000 0.500 1

(6)
# HfSc2Nb PBE optimized geometry
# Spin magnetization: 0.00 Bohr magnetons per cell
# E_tot: -7.574 eV/atom
# Energy of formation from the pure elements: 0.598 eV per atom
data_HfSc2Nb
_chemical_formula_sum 'Hf4 Sc8 Nb4'
_cell_length_a 7.779
_cell_length_b 7.779
_cell_length_c 5.877
_cell_angle_alpha 90.00
_cell_angle_beta 90.00
_cell_angle_gamma 90.00
_space_group_name_H-M_alt 'I -4 2 d'
_space_group_IT_number 122
_space_group_name_Hall 'I -4 2bw'
loop_
_atom_site_label
_atom_site_type_symbol
_atom_site_fract_x
_atom_site_fract_y
_atom_site_fract_z
_atom_site_occupancy
Hf1 Hf 0.000 0.000 0.000 1
Sc1 Sc 0.234 0.250 0.625 1
Nb1 Nb 0.000 0.000 0.500 1

(7)
# HfScNb4 PBE optimized geometry
# Spin magnetization: 0.01 Bohr magnetons per cell
# E_tot: -9.326 eV/atom
# Energy of formation from the pure elements: 0.102 eV per atom
data_HfScNb4
_chemical_formula_sum 'Hf4 Sc4 Nb16'
_cell_length_a 7.866
_cell_length_b 7.866
_cell_length_c 7.866
_cell_angle_alpha 90.00
_cell_angle_beta 90.00
_cell_angle_gamma 90.00
_space_group_name_H-M_alt 'F -4 3 m'
_space_group_IT_number 216
_space_group_name_Hall 'F -4 2 3'
loop_
_atom_site_label
_atom_site_type_symbol
_atom_site_fract_x
_atom_site_fract_y
_atom_site_fract_z
_atom_site_occupancy
Hf1 Hf 0.000 0.000 0.000 1
Sc1 Sc 0.250 0.250 0.250 1
Nb1 Nb 0.125 0.125 0.625 1

(8)
# HfSc2Nb PBE optimized geometry
# Spin magnetization: 0.00 Bohr magnetons per cell
# E_tot: -8.041 eV/atom
# Energy of formation from the pure elements: 0.131 eV per atom
data_HfSc2Nb
_chemical_formula_sum 'Hf3 Sc6 Nb3'
_cell_length_a 3.1241
_cell_length_b 3.1241
_cell_length_c 30.7850
_cell_angle_alpha 90.00
_cell_angle_beta 90.00
_cell_angle_gamma 120.00
_space_group_name_H-M_alt 'R 3 m'
_space_group_IT_number 160
_space_group_name_Hall 'R 3 -2"'
loop_
_atom_site_label
_atom_site_type_symbol
_atom_site_fract_x
_atom_site_fract_y
_atom_site_fract_z
_atom_site_occupancy
Hf1 Hf 0.0000 0.0000 0.0000 1
Sc1 Sc 0.0000 0.0000 0.4184 1
Sc2 Sc 0.0000 0.0000 0.5801 1
Nb1 Nb 0.0000 0.0000 0.1659 1

(9)
# HfScNb3 PBE optimized geometry
# Spin magnetization: 0.00 Bohr magnetons per cell
# E_tot: -8.002 eV/atom
# Energy of formation from the pure elements: 1.297 eV per atom
data_HfScNb3
_chemical_formula_sum 'Hf1 Sc1 Nb3'
_cell_length_a 4.938
_cell_length_b 4.938
_cell_length_c 4.938
_cell_angle_alpha 90.00
_cell_angle_beta 90.00
_cell_angle_gamma 90.00
_space_group_name_H-M_alt 'P m -3 m'
_space_group_IT_number 221
_space_group_name_Hall '-P 4 2 3'
loop_
_atom_site_label
_atom_site_type_symbol
_atom_site_fract_x
_atom_site_fract_y
_atom_site_fract_z
_atom_site_occupancy
Hf1 Hf 0.000 0.000 0.000 1
Sc1 Sc 0.500 0.500 0.500 1
Nb1 Nb 0.000 0.000 0.500 1

(10)
# HfSc2Nb2 PBE optimized geometry
# Spin magnetization: 0.00 Bohr magnetons per cell
# E_tot: -8.283 eV/atom
# Energy of formation from the pure elements: 0.268 eV per atom
data_HfSc2Nb2
_chemical_formula_sum 'Hf2 Sc4 Nb4'
_cell_length_a 7.547
_cell_length_b 7.547
_cell_length_c 3.745
_cell_angle_alpha 90.00
_cell_angle_beta 90.00
_cell_angle_gamma 90.00
_space_group_name_H-M_alt 'P 4/m b m'
_space_group_IT_number 127
_space_group_name_Hall '-P 4 2ab'
loop_
_atom_site_label
_atom_site_type_symbol
_atom_site_fract_x
_atom_site_fract_y
_atom_site_fract_z
_atom_site_occupancy
Hf1 Hf 0.000 0.000 0.000 1
Sc1 Sc 0.165 0.335 0.500 1
Nb1 Nb 0.130 0.630 0.000 1

(11)
# HfScNb2 PBE optimized geometry
# Spin magnetization: 0.00 Bohr magnetons per cell
# E_tot: -8.902 eV/atom
# Energy of formation from the pure elements: 0.204 eV per atom
data_HfScNb2
_chemical_formula_sum 'Hf3 Sc3 Nb6'
_cell_length_a 3.0734
_cell_length_b 3.0734
_cell_length_c 30.0161
_cell_angle_alpha 90.00
_cell_angle_beta 90.00
_cell_angle_gamma 120.00
_space_group_name_H-M_alt 'R -3 m'
_space_group_IT_number 166
_space_group_name_Hall '-R 3 2"'
loop_
_atom_site_label
_atom_site_type_symbol
_atom_site_fract_x
_atom_site_fract_y
_atom_site_fract_z
_atom_site_occupancy
Hf1 Hf 0.0000 0.0000 0.0000 1
Sc1 Sc 0.0000 0.0000 0.5000 1
Nb1 Nb 0.0000 0.0000 0.2508 1

(12)
# HfSc14Nb PBE optimized geometry
# Spin magnetization: 5.81 Bohr magnetons per cell
# E_tot: -6.745 eV/atom
# Energy of formation from the pure elements: 0.047 eV per atom
data_HfSc14Nb
_chemical_formula_sum 'Hf2 Sc28 Nb2'
_cell_length_a 10.385
_cell_length_b 6.455
_cell_length_c 11.317
_cell_angle_alpha 90.00
_cell_angle_beta 90.00
_cell_angle_gamma 90.00
_space_group_name_H-M_alt 'A m m 2'
_space_group_IT_number 38
_space_group_name_Hall 'A 2 -2'
loop_
_atom_site_label
_atom_site_type_symbol
_atom_site_fract_x
_atom_site_fract_y
_atom_site_fract_z
_atom_site_occupancy
Hf1 Hf 0.000 0.000 0.000 1
Sc1 Sc 0.000 0.249 0.250 1
Sc2 Sc 0.240 0.248 0.416 1
Sc3 Sc 0.242 0.000 0.659 1
Sc4 Sc 0.248 0.000 0.160 1
Sc5 Sc 0.500 0.000 0.329 1
Sc6 Sc 0.500 0.000 0.829 1
Sc7 Sc 0.500 0.249 0.578 1
Nb1 Nb 0.000 0.000 0.499 1

(13)
# HfScNb2 PBE optimized geometry
# Spin magnetization: 0.00 Bohr magnetons per cell
# E_tot: -8.896 eV/atom
# Energy of formation from the pure elements: 0.210 eV per atom
data_HfScNb2
_chemical_formula_sum 'Hf4 Sc4 Nb8'
_cell_length_a 6.838
_cell_length_b 6.838
_cell_length_c 6.838
_cell_angle_alpha 90.00
_cell_angle_beta 90.00
_cell_angle_gamma 90.00
_space_group_name_H-M_alt 'F m -3 m'
_space_group_IT_number 225
_space_group_name_Hall '-F 4 2 3'
loop_
_atom_site_label
_atom_site_type_symbol
_atom_site_fract_x
_atom_site_fract_y
_atom_site_fract_z
_atom_site_occupancy
Hf1 Hf 0.000 0.000 0.000 1
Sc1 Sc 0.000 0.000 0.500 1
Nb1 Nb 0.250 0.250 0.250 1